Material: MgSnH
Method: DFT, PBE-GGA
State: optimized geometry

The structure in extended XYZ format:
```
3
Lattice="-2.5436 -0.3178 1.5957 1.4894 -1.6466 2.0463 1.7779 5.7784 1.1281" Properties=species:S:1:pos:R:3 pbc="T T T"
H 0.4130 2.6227 4.0375
Mg 0.8874 3.4028 2.0923
Sn -0.2283 0.1636 2.5255
```

space group: I4mm (107)
energy above the most stable polymorph in this dataset: 131 meV per atom
N(E_F): 0.8 states/eV/f.u.
total magnetization: 0.00 μB per cell
final energy: -2.896 eV per atom